Below is a geometry-optimized BaLiTc2I structure, with properties calculated at the PBE level. Values from VASP.

The structure in Quantum ESPRESSO input format:
```
&SYSTEM
  ibrav = 0, nat = 5, ntyp = 4
/
ATOMIC_SPECIES
Li 6.94 Li.upf
Tc 98.00 Tc.upf
Ba 137.33 Ba.upf
I 126.90 I.upf
CELL_PARAMETERS angstrom
4.990 0.000 0.000
0.000 6.256 0.000
0.000 0.000 4.990
ATOMIC_POSITIONS crystal
Li 0.500 0.500 0.500
Tc 0.000 0.000 0.500
Tc 0.500 0.000 0.000
Ba 0.000 0.500 0.000
I 0.000 0.000 0.000
```

Summary:
Energy relative to the elements, uncorrected (meV per atom): 1289.6
N(E_F) (states/eV/f.u.): 2.13
Size of the total moment (Bohr magnetons per cell): 2.01
Electronic total energy (eV per atom): -3.93
ρ (Mg/m³): 4.98

Below is a geometry-optimized BaLiTeI structure, with properties calculated at the PBE level. Values from VASP.

The structure in Quantum ESPRESSO input format:
```
&SYSTEM
  ibrav = 0, nat = 8, ntyp = 4
/
ATOMIC_SPECIES
Ba 137.33 Ba.upf
Te 127.60 Te.upf
I 126.90 I.upf
Li 6.94 Li.upf
CELL_PARAMETERS angstrom
-2.745 1.473 -3.801
-3.819 -2.720 -1.473
-11.612 7.473 8.104
ATOMIC_POSITIONS crystal
Ba 0.083 0.083 0.750
Te 0.628 0.628 0.117
I 0.209 0.209 0.374
Li 0.313 0.313 0.061
Te 0.372 0.372 0.883
Li 0.687 0.687 0.939
I 0.791 0.791 0.626
Ba 0.917 0.917 0.250
```

Summary:
Energy relative to the elements, uncorrected (meV per atom): -1472.7
N(E_F) (states/eV/f.u.): 0.00
Size of the total moment (Bohr magnetons per cell): 0.00
Electronic total energy (eV per atom): -3.60
ρ (Mg/m³): 4.02

Below is a geometry-optimized BaLi2ThI8 structure, with properties calculated at the PBE level. Values from VASP.

The structure in Quantum ESPRESSO input format:
```
&SYSTEM
  ibrav = 0, nat = 12, ntyp = 4
/
ATOMIC_SPECIES
I 126.90 I.upf
Li 6.94 Li.upf
Th 232.04 Th.upf
Ba 137.33 Ba.upf
CELL_PARAMETERS angstrom
-4.930 4.694 -3.549
-2.043 1.388 7.733
5.065 7.892 3.426
ATOMIC_POSITIONS crystal
I 0.128 0.775 0.839
I 0.877 0.243 0.713
I 0.639 0.754 0.058
I 0.123 0.757 0.287
Li 0.528 0.358 0.670
Th 0.000 0.000 0.000
I 0.872 0.225 0.161
I 0.408 0.274 0.438
Ba 0.000 0.000 0.500
Li 0.472 0.642 0.330
I 0.361 0.246 0.942
I 0.592 0.726 0.562
```

Summary:
Energy relative to the elements, uncorrected (meV per atom): -1332.0
N(E_F) (states/eV/f.u.): 0.00
Size of the total moment (Bohr magnetons per cell): 0.00
Electronic total energy (eV per atom): -3.46
ρ (Mg/m³): 4.03

Below is a geometry-optimized Ba2LiTlI6 structure, with properties calculated at the PBE level. Values from VASP.

The structure in Quantum ESPRESSO input format:
```
&SYSTEM
  ibrav = 0, nat = 10, ntyp = 4
/
ATOMIC_SPECIES
Ba 137.33 Ba.upf
I 126.90 I.upf
Tl 204.38 Tl.upf
Li 6.94 Li.upf
CELL_PARAMETERS angstrom
8.513 0.000 0.000
4.257 7.374 0.001
4.256 2.459 7.609
ATOMIC_POSITIONS crystal
Ba 0.521 0.520 0.438
I 0.961 0.573 0.244
I 0.117 0.422 0.771
Ba 0.013 0.013 0.962
I 0.422 0.690 0.771
I 0.222 0.961 0.244
I 0.573 0.222 0.244
Tl 0.818 0.818 0.547
Li 0.326 0.326 0.023
I 0.690 0.117 0.771
```

Summary:
Energy relative to the elements, uncorrected (meV per atom): -1404.1
N(E_F) (states/eV/f.u.): 0.00
Size of the total moment (Bohr magnetons per cell): 0.00
Electronic total energy (eV per atom): -3.15
ρ (Mg/m³): 4.34

Below is a geometry-optimized BaLi2TmI8 structure, with properties calculated at the PBE level. Values from VASP.

The structure in Quantum ESPRESSO input format:
```
&SYSTEM
  ibrav = 0, nat = 12, ntyp = 4
/
ATOMIC_SPECIES
Li 6.94 Li.upf
I 126.90 I.upf
Tm 168.93 Tm.upf
Ba 137.33 Ba.upf
CELL_PARAMETERS angstrom
7.599 0.000 0.000
-3.799 6.581 0.000
0.000 0.000 9.744
ATOMIC_POSITIONS crystal
Li 0.667 0.333 0.283
I 0.978 0.298 0.688
Tm 0.000 0.000 0.500
Li 0.333 0.667 0.717
I 0.321 0.022 0.688
Ba 0.000 0.000 0.000
I 0.667 0.333 0.004
I 0.702 0.679 0.688
I 0.333 0.667 0.996
I 0.022 0.702 0.312
I 0.298 0.321 0.312
I 0.679 0.978 0.312
```

Summary:
Energy relative to the elements, uncorrected (meV per atom): -1160.3
N(E_F) (states/eV/f.u.): 16.34
Size of the total moment (Bohr magnetons per cell): 0.01
Electronic total energy (eV per atom): -3.05
ρ (Mg/m³): 4.55

Below is a geometry-optimized BaLi2VI structure, with properties calculated at the PBE level. Values from VASP.

The structure in Quantum ESPRESSO input format:
```
&SYSTEM
  ibrav = 0, nat = 5, ntyp = 4
/
ATOMIC_SPECIES
Li 6.94 Li.upf
I 126.90 I.upf
V 50.94 V.upf
Ba 137.33 Ba.upf
CELL_PARAMETERS angstrom
5.303 0.000 0.000
0.000 5.455 0.000
0.000 0.000 5.303
ATOMIC_POSITIONS crystal
Li 0.500 0.000 0.000
I 0.000 0.500 0.000
Li 0.000 0.000 0.500
V 0.000 0.000 0.000
Ba 0.500 0.500 0.500
```

Summary:
Energy relative to the elements, uncorrected (meV per atom): 208.5
N(E_F) (states/eV/f.u.): 3.95
Size of the total moment (Bohr magnetons per cell): 3.55
Electronic total energy (eV per atom): -3.08
ρ (Mg/m³): 3.56

Below is a geometry-optimized BaLi2YI8 structure, with properties calculated at the PBE level. Values from VASP.

The structure in Quantum ESPRESSO input format:
```
&SYSTEM
  ibrav = 0, nat = 12, ntyp = 4
/
ATOMIC_SPECIES
I 126.90 I.upf
Li 6.94 Li.upf
Ba 137.33 Ba.upf
Y 88.91 Y.upf
CELL_PARAMETERS angstrom
-0.105 6.122 4.534
0.538 -6.972 3.025
9.795 0.538 -0.501
ATOMIC_POSITIONS crystal
I 0.321 0.021 0.691
Li 0.667 0.333 0.280
Li 0.333 0.667 0.720
I 0.300 0.321 0.309
I 0.667 0.333 0.003
Ba 0.000 0.000 0.000
I 0.333 0.667 0.997
I 0.700 0.679 0.691
I 0.979 0.300 0.691
I 0.679 0.979 0.309
I 0.021 0.700 0.309
Y 0.000 0.000 0.500
```

Summary:
Energy relative to the elements, uncorrected (meV per atom): -1167.6
N(E_F) (states/eV/f.u.): 16.89
Size of the total moment (Bohr magnetons per cell): 0.01
Electronic total energy (eV per atom): -3.22
ρ (Mg/m³): 4.22

Below is a geometry-optimized BaMgI structure, with properties calculated at the PBE level. Values from VASP.

The structure in Quantum ESPRESSO input format:
```
&SYSTEM
  ibrav = 0, nat = 6, ntyp = 3
/
ATOMIC_SPECIES
I 126.90 I.upf
Ba 137.33 Ba.upf
Mg 24.30 Mg.upf
CELL_PARAMETERS angstrom
-3.116 3.852 -4.224
-0.888 -4.065 1.966
-5.568 5.729 9.331
ATOMIC_POSITIONS crystal
I 0.196 0.391 0.210
Ba 0.696 0.392 0.331
Ba 0.696 0.392 0.669
I 0.196 0.391 0.790
Mg 0.687 0.375 0.000
Mg 0.196 0.393 0.500
```

Summary:
Energy relative to the elements, uncorrected (meV per atom): -640.4
N(E_F) (states/eV/f.u.): 1.24
Size of the total moment (Bohr magnetons per cell): 0.00
Electronic total energy (eV per atom): -2.33
ρ (Mg/m³): 3.68